*i*
An optimized crystal structure of BaAl4Cu2. Source: the Alexandria database, functional PBE.

a = 4.3785 Å, b = 14.7683 Å, c = 4.3606 Å
α = 90.00°, β = 90.00°, γ = 90.00°
Last column: nearest neighbours and their distance in Å.
Space group Cmmm (No. 65)
Inequivalent atoms, fractional coordinates:
Ba  0.0000  0.0000  0.0000 x2  8 Cu 3.46, 8 Al 3.53-3.55
Al  0.0000  0.1880  0.5000 x4  2 Cu 2.50
Al  0.0000  0.3106  0.0000 x4  2 Cu 2.50
Cu  0.0000  0.3938  0.5000 x4  4 Al 2.50

Output
* size of the total moment: 0.0 μB/f.u.


*ii*
An optimized crystal structure of BaAl4Cu2. Source: the Alexandria database, functional PBE.

a = 8.5661 Å, b = 7.5175 Å, c = 5.1658 Å
α = 90.00°, β = 126.95°, γ = 90.00°
Last column: nearest neighbours and their distance in Å.
Space group C2/m (No. 12)
Inequivalent atoms, fractional coordinates:
Ba  0.0000  0.0000  0.0000 x2  12 Al 3.10-3.26
Al  0.2000  0.1915  0.6999 x8  4 Al 2.74-2.88, 4 Cu 2.81-2.99
Cu  0.0010  0.5000  0.2485 x4  2 Cu 2.56-2.61, 4 Al 2.81-2.82

Output
* size of the total moment: 0.0 μB/f.u.


Most stable one: *i*, least stable one: *ii*.


*i*
An optimized crystal structure of BaAlCuSbO5. Source: the Alexandria database, functional PBE.

a = 3.7491 Å, b = 3.7491 Å, c = 19.1108 Å
α = 90.00°, β = 90.00°, γ = 90.00°
Last column: nearest neighbours and their distance in Å.
Space group I4mm (No. 107)
Inequivalent atoms, fractional coordinates:
Ba  0.0000  0.0000  0.0000 x2  8 O 2.77-2.81
Al  0.0000  0.0000  0.3602 x2  1 O 1.74
Cu  0.0000  0.0000  0.7960 x2  4 O 1.98
Sb  0.0000  0.0000  0.6525 x2  4 O 2.07
O  0.0000  0.0000  0.4513 x2  1 Al 1.74
O  0.0000  0.5000  0.1068 x4  2 Sb 2.07
O  0.0000  0.5000  0.3292 x4  2 Al 1.97, 2 Cu 1.98

Output
* size of the total moment: 0.3 μB/f.u.


*ii*
An optimized crystal structure of BaAlCuSbO5. Source: the Alexandria database, functional PBE.

a = 3.9188 Å, b = 3.9188 Å, c = 9.8801 Å
α = 90.00°, β = 90.00°, γ = 90.00°
Last column: nearest neighbours and their distance in Å.
Space group P4mm (No. 99)
Inequivalent atoms, fractional coordinates:
Ba  0.0000  0.0000  0.0000 x1  8 O 2.76-2.78
Al  0.0000  0.0000  0.4253 x1  4 O 1.96
Cu  0.5000  0.5000  0.5130 x1  4 O 2.14
Sb  0.5000  0.5000  0.7722 x1  5 O 1.98-2.08
O  0.0000  0.5000  0.4253 x2  2 Al 1.96, 2 Cu 2.14
O  0.0000  0.5000  0.8032 x2  2 Sb 1.98
O  0.5000  0.5000  0.9828 x1  1 Sb 2.08

Output
* size of the total moment: 0.9 μB/f.u.


Most stable one: *i*, least stable one: *ii*.


*i*
An optimized crystal structure of Ba6Dy2Al4O15. Source: the Alexandria database, functional PBE.

a = 14.8463 Å, b = 5.9692 Å, c = 10.2750 Å
α = 90.00°, β = 90.00°, γ = 90.00°
Last column: nearest neighbours and their distance in Å.
Space group Amm2 (No. 38)
Inequivalent atoms, fractional coordinates:
Ba  0.0000  0.0000  0.0000 x2  1 O 2.51
Ba  0.1529  0.0000  0.6867 x4  1 O 2.38
Ba  0.3258  0.0000  0.3697 x4  4 O 2.72-2.83
Ba  0.5000  0.0000  0.0553 x2  6 O 2.67-2.97
Dy  0.2499  0.0000  0.0309 x4  6 O 2.24-2.40
Al  0.1126  0.0000  0.3544 x4  4 O 1.76-1.81
Al  0.3868  0.0000  0.7034 x4  4 O 1.78
O  0.0000  0.0000  0.4073 x2  2 Al 1.76
O  0.0000  0.0000  0.7556 x2  3 Ba 2.38-2.51
O  0.1443  0.0000  0.1872 x4  1 Al 1.78
O  0.1728  0.2333  0.4250 x8  1 Al 1.81
O  0.3377  0.2465  0.6373 x8  1 Al 1.78
O  0.3706  0.0000  0.8753 x4  1 Al 1.78
O  0.5000  0.0000  0.6470 x2  2 Al 1.78

Output
* size of the total moment: 0.1 μB/f.u.


*ii*
An optimized crystal structure of Ba6Dy2Al4O15. Source: the Alexandria database, functional PBE.

a = 7.9297 Å, b = 5.9660 Å, c = 18.5475 Å
α = 90.00°, β = 91.60°, γ = 90.00°
Last column: nearest neighbours and their distance in Å.
Space group P2/c (No. 13)
Inequivalent atoms, fractional coordinates:
Ba  0.0000  0.1769  0.2500 x2  8 O 2.81-2.98
Ba  0.0013  0.2555  0.9174 x4  2 O 2.53-2.82
Ba  0.4702  0.2477  0.9099 x4  9 O 2.76-3.06
Ba  0.5000  0.2299  0.2500 x2  7 O 2.73-2.95
Dy  0.2523  0.2490  0.0893 x4  6 O 2.24-2.43
Al  0.2522  0.2472  0.4442 x4  4 O 1.80-1.81
Al  0.2791  0.2670  0.7318 x4  4 O 1.74-1.80
O  0.0392  0.2543  0.4082 x4  1 Al 1.80
O  0.1908  0.1800  0.8123 x4  1 Al 1.74
O  0.2296  0.4752  0.1881 x4  1 Al 1.78
O  0.2555  0.0462  0.6663 x4  1 Al 1.80
O  0.2639  0.0026  0.9981 x4  1 Al 1.80
O  0.2636  0.4826  0.5053 x4  1 Al 1.81
O  0.4432  0.2620  0.3940 x4  1 Al 1.80
O  0.5000  0.2898  0.7500 x2  2 Al 1.78

Output
* size of the total moment: 0.0 μB/f.u.


Most stable one: *ii*, least stable one: *i*.


*i*
An optimized crystal structure of BaEr2Al. Source: the Alexandria database, functional PBE.

a = 3.6033 Å, b = 3.6033 Å, c = 35.0138 Å
α = 90.00°, β = 90.00°, γ = 120.00°
Last column: nearest neighbours and their distance in Å.
Space group R-3m (No. 166, hexagonal axes)
Inequivalent atoms, fractional coordinates:
Ba  0.0000  0.0000  0.0000 x3  6 Ba 3.60, 2 Er 3.66
Er  0.0000  0.0000  0.1046 x6  3 Al 3.01
Al  0.0000  0.0000  0.5000 x3  6 Er 3.01

Output
* size of the total moment: 0.2 μB/f.u.


*ii*
An optimized crystal structure of BaEr2Al. Source: the Alexandria database, functional PBE.

a = 3.6211 Å, b = 3.6211 Å, c = 9.9028 Å
α = 90.00°, β = 90.00°, γ = 90.00°
Last column: nearest neighbours and their distance in Å.
Space group P4/mmm (No. 123)
Inequivalent atoms, fractional coordinates:
Ba  0.0000  0.0000  0.0000 x1  4 Ba 3.62
Er  0.5000  0.5000  0.3210 x2  4 Al 3.11
Al  0.0000  0.0000  0.5000 x1  8 Er 3.11

Output
* size of the total moment: 0.0 μB/f.u.


Most stable one: *ii*, least stable one: *i*.


*i*
An optimized crystal structure of BaEuAl. Source: the Alexandria database, functional PBE.

a = 5.6145 Å, b = 5.6145 Å, c = 4.1641 Å
α = 90.00°, β = 90.00°, γ = 120.00°
Last column: nearest neighbours and their distance in Å.
Space group P3m1 (No. 156)
Inequivalent atoms, fractional coordinates:
Ba  0.0000  0.0000  0.0000 x1  6 Al 3.80-3.91, 6 Eu 3.82-3.88, 2 Ba 4.16
Eu  0.3333  0.6667  0.5124 x1  3 Al 3.25
Al  0.6667  0.3333  0.4744 x1  3 Eu 3.25

Output
* size of the total moment: 7.2 μB/f.u.


*ii*
An optimized crystal structure of BaEuAl. Source: the Alexandria database, functional PBE.

a = 4.0463 Å, b = 4.0463 Å, c = 13.9160 Å
α = 90.00°, β = 90.00°, γ = 90.00°
Last column: nearest neighbours and their distance in Å.
Space group I4mm (No. 107)
Inequivalent atoms, fractional coordinates:
Ba  0.0000  0.0000  0.0000 x2  4 Al 3.57, 1 Eu 3.70
Eu  0.0000  0.0000  0.2662 x2  4 Al 3.26
Al  0.0000  0.0000  0.6538 x2  4 Eu 3.26, 4 Ba 3.57

Output
* size of the total moment: 7.4 μB/f.u.


Most stable one: *ii*, least stable one: *i*.


*i*
An optimized crystal structure of BaAlF5. Source: the Alexandria database, functional PBE.

a = 5.3191 Å, b = 9.9459 Å, c = 7.4807 Å
α = 90.00°, β = 90.95°, γ = 90.00°
Last column: nearest neighbours and their distance in Å.
Space group P2_1 (No. 4)
Inequivalent atoms, fractional coordinates:
Ba  0.0123  0.0000  0.3877 x2  7 F 2.69-2.93
Ba  0.4830  0.3478  0.1390 x2  8 F 2.68-2.96
Al  0.0207  0.6288  0.0763 x2  6 F 1.79-1.91
Al  0.4721  0.2301  0.6279 x2  6 F 1.78-1.93
F  0.0162  0.7574  0.9068 x2  1 Al 1.80
F  0.0538  0.5124  0.2572 x2  1 Al 1.79
F  0.1933  0.2408  0.7898 x2  2 Al 1.89-1.93
F  0.2302  0.5311  0.9395 x2  1 Al 1.81
F  0.2465  0.0484  0.0287 x2  1 Al 1.80
F  0.2493  0.2473  0.4433 x2  1 Al 1.81
F  0.2739  0.7289  0.5288 x2  1 Al 1.80
F  0.3051  0.7227  0.1740 x2  2 Al 1.88-1.91
F  0.4340  0.0524  0.6344 x2  1 Al 1.78
F  0.4897  0.4088  0.6559 x2  1 Al 1.79

Output
* size of the total moment: 0.0 μB/f.u.


*ii*
An optimized crystal structure of BaAlF5. Source: the Alexandria database, functional PBE.

a = 9.4504 Å, b = 5.8171 Å, c = 8.0082 Å
α = 90.00°, β = 115.05°, γ = 90.00°
Last column: nearest neighbours and their distance in Å.
Space group C2/c (No. 15)
Inequivalent atoms, fractional coordinates:
Ba  0.0000  0.0008  0.2500 x4  10 F 2.81-2.93
Al  0.0000  0.5000  0.0000 x4  4 F 1.78-1.79
F  0.0000  0.4976  0.2500 x4  2 Al 2.00
F  0.1386  0.2705  0.0680 x8  1 Al 1.79
F  0.1443  0.2797  0.5734 x8  1 Al 1.78

Output
* size of the total moment: 0.0 μB/f.u.


Most stable one: *i*, least stable one: *ii*.